VASP calculation (PBEsol) on a geometry-optimized HfMn2InSb structure.

Unit cell a=4.757 b=4.757 c=5.379 alpha=90.00 beta=90.00 gamma=90.00
Atoms (fractional coordinates):
Hf (0.000, 0.000, 0.000)
Mn (0.000, 0.500, 0.500)
Mn (0.500, 0.000, 0.500)
In (0.500, 0.500, 0.500)
Sb (0.500, 0.500, 0.000)

Output
Calculated total energy ... -6.129 eV per atom
Formation energy without anion corrections ... 1384.1 meV per atom
Symmetry ... P4/mmm
DOS at the Fermi energy ... 5.8 states/eV/f.u.